# Nd2GaAg3 PBE relaxed
data_Nd2GaAg3
_chemical_formula_sum 'Nd16 Ga8 Ag24'
_space_group_name_H-M_alt 'F m m m'
_space_group_IT_number 69
_space_group_name_Hall '-F 2 2'
_cell_length_a 7.107
_cell_length_b 9.511
_cell_length_c 16.581
_cell_angle_alpha 90.00
_cell_angle_beta 90.00
_cell_angle_gamma 90.00
loop_
_atom_site_label
_atom_site_type_symbol
_atom_site_fract_x
_atom_site_fract_y
_atom_site_fract_z
_atom_site_occupancy
Nd1 Nd 0.245 0.000 0.000 1
Nd2 Nd 0.250 0.250 0.250 1
Ga1 Ga 0.000 0.000 0.333 1
Ag1 Ag 0.000 0.000 0.170 1
Ag2 Ag 0.000 0.243 0.415 1
# Calculated volume   23.35 Å³/atom
# Total magnetization   0.0 Bohr magnetons per cell
# E   -3.867 eV per atom
# Formation energy   -0.348 eV per atom